[1]
Below is OsRu2Pb after structural relaxation, with properties calculated at the GGA-PBE level.

## Properties
Total energy (eV per atom): -7.567
Calculated formation energy (eV per atom): 0.81
DOS(E_F) (states/eV/f.u.): 7.02

a = 4.1085 Å, b = 4.1085 Å, c = 3.8421 Å
α = 90.00°, β = 90.00°, γ = 90.00°
Last column: nearest neighbours and their distance in Å.
Positions (direct):
Os1 0.0000 0.0000 0.0000  8 Ru 2.81, 4 Pb 2.91
Ru1 0.0000 0.5000 0.5000  4 Pb 2.81, 4 Os 2.81, 4 Ru 2.91
Ru2 0.5000 0.0000 0.5000  4 Pb 2.81, 4 Os 2.81, 4 Ru 2.91
Pb1 0.5000 0.5000 0.0000  8 Ru 2.81, 4 Os 2.91



[2]
Below is NiPb2Au after structural relaxation, with properties calculated at the GGA-PBE level.

## Properties
Total energy (eV per atom): -3.890
Energy relative to the lowest polymorph listed for this composition (meV/atom): 171
Calculated formation energy (eV per atom): 0.23
DOS(E_F) (states/eV/f.u.): 3.00

a = 7.0723 Å, b = 7.0723 Å, c = 7.0723 Å
α = 90.00°, β = 90.00°, γ = 90.00°
Last column: nearest neighbours and their distance in Å.
Positions (direct):
Ni1 0.0000 0.0000 0.0000  8 Pb 3.06
Ni2 0.0000 0.5000 0.5000  8 Pb 3.06
Ni3 0.5000 0.0000 0.5000  8 Pb 3.06
Ni4 0.5000 0.5000 0.0000  8 Pb 3.06
Pb1 0.2500 0.2500 0.2500  4 Ni 3.06, 4 Au 3.06
Pb2 0.2500 0.2500 0.7500  4 Ni 3.06, 4 Au 3.06
Pb3 0.2500 0.7500 0.2500  4 Ni 3.06, 4 Au 3.06
Pb4 0.2500 0.7500 0.7500  4 Ni 3.06, 4 Au 3.06
Pb5 0.7500 0.2500 0.2500  4 Ni 3.06, 4 Au 3.06
Pb6 0.7500 0.2500 0.7500  4 Ni 3.06, 4 Au 3.06
Pb7 0.7500 0.7500 0.2500  4 Ni 3.06, 4 Au 3.06
Pb8 0.7500 0.7500 0.7500  4 Au 3.06, 4 Ni 3.06
Au1 0.0000 0.0000 0.5000  8 Pb 3.06
Au2 0.0000 0.5000 0.0000  8 Pb 3.06
Au3 0.5000 0.0000 0.0000  8 Pb 3.06
Au4 0.5000 0.5000 0.5000  8 Pb 3.06



[3]
Below is TiSn3Cl9 after structural relaxation, with properties calculated at the GGA-PBE level.

## Properties
Total energy (eV per atom): -3.939
DOS(E_F) (states/eV/f.u.): 4.13
E_form (uncorrected) (eV/atom): -1.1299

a = 9.2736 Å, b = 9.2736 Å, c = 14.0876 Å
α = 119.54°, β = 119.54°, γ = 54.22°
Last column: nearest neighbours and their distance in Å.
Positions (direct):
Ti1 0.2040 0.7960 0.5000  6 Cl 2.35-2.58
Ti2 0.7960 0.2040 0.0000  6 Cl 2.35-2.58
Sn1 0.1394 0.1853 0.8200  3 Cl 2.62-2.86
Sn2 0.1853 0.1394 0.3200  3 Cl 2.62-2.86
Sn3 0.4171 0.4511 0.2405  2 Cl 2.57-2.72
Sn4 0.4511 0.4171 0.7405  2 Cl 2.57-2.72
Sn5 0.7643 0.7819 0.7484  3 Cl 2.60-2.78
Sn6 0.7819 0.7643 0.2484  3 Cl 2.60-2.78
Cl1 0.0793 0.5686 0.7017  2 Sn 2.60-2.72
Cl2 0.0862 0.8651 0.3172  1 Ti 2.50
Cl3 0.1119 0.1364 0.1017  1 Ti 2.37
Cl4 0.1364 0.1119 0.6017  1 Ti 2.37
Cl5 0.1755 0.4415 0.0429  2 Sn 2.57-2.86
Cl6 0.2189 0.4766 0.3619  1 Ti 2.58
Cl7 0.3169 0.7466 0.6829  1 Ti 2.43
Cl8 0.4415 0.1755 0.5429  2 Sn 2.57-2.86
Cl9 0.4677 0.8192 0.2682  2 Sn 2.62-2.78
Cl10 0.4766 0.2189 0.8619  1 Ti 2.58
Cl11 0.5095 0.6775 0.5031  1 Ti 2.35
Cl12 0.5686 0.0793 0.2017  2 Sn 2.60-2.72
Cl13 0.6775 0.5095 0.0031  1 Ti 2.35
Cl14 0.7466 0.3169 0.1829  1 Ti 2.43
Cl15 0.8192 0.4677 0.7682  2 Sn 2.62-2.78
Cl16 0.8651 0.0862 0.8172  1 Ti 2.50
Cl17 0.8729 0.8887 0.9754  1 Ti 2.45, 1 Sn 2.66
Cl18 0.8887 0.8729 0.4754  1 Ti 2.45, 1 Sn 2.66



[4]
Below is NaVSbTe2 after structural relaxation, with properties calculated at the GGA-PBE level.

## Properties
Total energy (eV per atom): -4.197
Energy relative to the lowest polymorph listed for this composition (meV/atom): 0
DOS(E_F) (states/eV/f.u.): 4.05
E_form (uncorrected) (eV/atom): -0.0279

a = 5.3156 Å, b = 5.3156 Å, c = 5.2308 Å
α = 90.00°, β = 90.00°, γ = 90.00°
Last column: nearest neighbours and their distance in Å.
Positions (direct):
Na1 0.0000 0.0000 0.0000  8 Te 3.73, 4 Sb 3.76
V1 0.5000 0.5000 0.5000  2 Sb 2.62, 4 Te 2.66
Sb1 0.5000 0.5000 0.0000  2 V 2.62
Te1 0.0000 0.5000 0.5000  2 V 2.66
Te2 0.5000 0.0000 0.5000  2 V 2.66



[5]
Below is Li4ZnGa7 after structural relaxation, with properties calculated at the GGA-PBE level.

## Properties
Total energy (eV per atom): -2.682
Calculated formation energy (eV per atom): -0.17
DOS(E_F) (states/eV/f.u.): 3.72

a = 4.9103 Å, b = 5.6312 Å, c = 7.8573 Å
α = 70.22°, β = 81.78°, γ = 88.00°
Last column: nearest neighbours and their distance in Å.
Positions (direct):
Li1 0.2185 0.1106 0.2889  7 Ga 2.69-2.98, 1 Zn 2.73, 2 Li 2.73-2.90
Li2 0.2247 0.6004 0.2789  6 Ga 2.68-2.96, 2 Li 2.73-2.90, 1 Zn 2.78
Li3 0.7753 0.3996 0.7211  6 Ga 2.68-2.96, 2 Li 2.73-2.90, 1 Zn 2.78
Li4 0.7815 0.8894 0.7111  7 Ga 2.69-2.98, 1 Zn 2.73, 2 Li 2.73-2.90
Zn1 0.5000 0.0000 0.0000  2 Ga 2.46, 2 Li 2.73
Ga1 0.0000 0.0000 0.0000  2 Zn 2.46
Ga2 0.2641 0.1754 0.6425  4 Ga 2.62-2.86, 2 Li 2.76-2.80
Ga3 0.2670 0.5203 0.9274  3 Ga 2.55-2.69
Ga4 0.2746 0.7015 0.5824  3 Ga 2.55-2.84, 3 Li 2.68-2.80
Ga5 0.7254 0.2985 0.4176  3 Ga 2.55-2.84, 3 Li 2.68-2.80
Ga6 0.7330 0.4797 0.0726  3 Ga 2.55-2.69
Ga7 0.7359 0.8246 0.3575  4 Ga 2.62-2.86, 2 Li 2.76-2.80